# 1
Material: Ba2NiAg
Method: DFT, PBEsol
State: optimized geometry

a = 4.5932 Å, b = 6.3460 Å, c = 6.3460 Å
α = 41.84°, β = 90.00°, γ = 90.00°
Sites, in units of the cell vectors:
Ba (0.0000, 0.0000, 0.0000)
Ba (0.5000, 0.2807, 0.2807)
Ni (0.5000, 0.5866, 0.5866)
Ag (0.0000, 0.6972, 0.6972)

Calculated values
Total magnetic moment in μB per formula unit: 0.0
Polymorph energy (0 for the lowest one) in kcal/mol of atoms: 0.000
Density of states at the Fermi level in states/eV/cell: 2.95
ΔE_f in kJ/mol of atoms: -0.21

# 2
Material: Al6Ag5
Method: DFT, PBEsol
State: optimized geometry

a = 4.8225 Å, b = 4.8225 Å, c = 13.4751 Å
α = 91.14°, β = 91.14°, γ = 34.65°
Sites, in units of the cell vectors:
Al (0.0406, 0.0406, 0.3250)
Al (0.1328, 0.1328, 0.9567)
Al (0.4024, 0.4024, 0.8583)
Al (0.5976, 0.5976, 0.1417)
Al (0.8672, 0.8672, 0.0433)
Al (0.9594, 0.9594, 0.6750)
Ag (0.2339, 0.2339, 0.5958)
Ag (0.3257, 0.3257, 0.2221)
Ag (0.5000, 0.5000, 0.5000)
Ag (0.6743, 0.6743, 0.7779)
Ag (0.7661, 0.7661, 0.4042)

Calculated values
Total magnetic moment in μB per formula unit: 0.0
Polymorph energy (0 for the lowest one) in kcal/mol of atoms: 0.000
Density of states at the Fermi level in states/eV/cell: 3.38
ΔE_f in kJ/mol of atoms: -5.68

# 3
Material: Sc2ReHgPt
Method: DFT, PBEsol
State: optimized geometry

a = 4.9825 Å, b = 4.9825 Å, c = 4.8311 Å
α = 90.00°, β = 90.00°, γ = 90.00°
Sites, in units of the cell vectors:
Sc (0.0000, 0.5000, 0.0000)
Sc (0.5000, 0.0000, 0.0000)
Re (0.0000, 0.0000, 0.5000)
Hg (0.5000, 0.5000, 0.0000)
Pt (0.5000, 0.5000, 0.5000)

Calculated values
Total magnetic moment in μB per formula unit: 1.8
Density of states at the Fermi level in states/eV/cell: 6.53
ΔE_f in kJ/mol of atoms: 141.64

# 4
Material: Ta2SbIr
Method: DFT, PBEsol
State: optimized geometry

a = 5.2233 Å, b = 5.2233 Å, c = 5.2233 Å
α = 138.46°, β = 133.19°, γ = 64.35°
Sites, in units of the cell vectors:
Ta (0.2464, 0.2464, 0.0000)
Ta (0.7536, 0.7536, 0.0000)
Sb (0.5000, 0.0000, 0.5000)
Ir (0.0000, 0.5000, 0.5000)

Calculated values
E_form (uncorrected) in eV/atom: -0.19
Total magnetic moment in μB per formula unit: 0.0
Density of states at the Fermi level in states/eV/cell: 2.36

# 5
Material: AlInBi2
Method: DFT, PBEsol
State: optimized geometry

a = 8.0009 Å, b = 8.0009 Å, c = 8.0009 Å
α = 131.77°, β = 131.77°, γ = 70.60°
Sites, in units of the cell vectors:
Al (0.0000, 0.0000, 0.0000)
Al (0.7500, 0.2500, 0.5000)
In (0.2500, 0.7500, 0.5000)
In (0.5000, 0.5000, 0.0000)
Bi (0.1057, 0.6250, 0.9807)
Bi (0.3750, 0.3557, 0.4807)
Bi (0.6443, 0.1250, 0.0193)
Bi (0.8750, 0.8943, 0.5193)

Calculated values
Total magnetic moment in μB per formula unit: 0.0
Density of states at the Fermi level in states/eV/cell: 0.36
ΔE_f in kJ/mol of atoms: 8.78

# 6
Material: KRb2NF
Method: DFT, PBEsol
State: optimized geometry

a = 5.1086 Å, b = 5.1086 Å, c = 11.7250 Å
α = 90.00°, β = 90.00°, γ = 90.00°
Sites, in units of the cell vectors:
K (0.0000, 0.0000, 0.0000)
Rb (0.0000, 0.5000, 0.5000)
Rb (0.5000, 0.0000, 0.5000)
N (0.5000, 0.5000, 0.5000)
F (0.5000, 0.5000, 0.0000)

Calculated values
E_form (uncorrected) in eV/atom: -0.06
Total magnetic moment in μB per formula unit: 1.1
Density of states at the Fermi level in states/eV/cell: 2.77

# 7
Material: BeZnMo2
Method: DFT, PBEsol
State: optimized geometry

a = 2.6407 Å, b = 2.6407 Å, c = 7.8942 Å
α = 90.00°, β = 90.00°, γ = 104.20°
Sites, in units of the cell vectors:
Be (0.0000, 0.0000, 0.0000)
Zn (0.5000, 0.5000, 0.7820)
Mo (0.0000, 0.0000, 0.5105)
Mo (0.5000, 0.5000, 0.2283)

Calculated values
Total magnetic moment in μB per formula unit: 0.0
Polymorph energy (0 for the lowest one) in kcal/mol of atoms: 0.272
Density of states at the Fermi level in states/eV/cell: 1.59
ΔE_f in kJ/mol of atoms: 13.09

# 8
Material: CaZrSb3
Method: DFT, PBEsol
State: optimized geometry

a = 5.4696 Å, b = 5.4696 Å, c = 5.4696 Å
α = 90.00°, β = 90.00°, γ = 90.00°
Sites, in units of the cell vectors:
Ca (0.0000, 0.0000, 0.0000)
Zr (0.5000, 0.5000, 0.5000)
Sb (0.0000, 0.5000, 0.5000)
Sb (0.5000, 0.0000, 0.5000)
Sb (0.5000, 0.5000, 0.0000)

Calculated values
E_form (uncorrected) in eV/atom: -0.18
Total magnetic moment in μB per formula unit: 0.0
Density of states at the Fermi level in states/eV/cell: 3.26

# 9
Material: Li4Ti2Cr3Ni3O16
Method: DFT, PBEsol
State: optimized geometry

a = 5.7080 Å, b = 5.7080 Å, c = 9.2953 Å
α = 90.21°, β = 90.21°, γ = 60.23°
Sites, in units of the cell vectors:
Li (0.0000, 0.0000, 0.0000)
Li (0.0011, 0.0011, 0.4985)
Li (0.3379, 0.3379, 0.8995)
Li (0.6689, 0.6689, 0.3934)
Ti (0.3391, 0.3391, 0.4985)
Ti (0.6702, 0.6702, 0.0022)
Cr (0.1752, 0.1752, 0.2231)
Cr (0.3495, 0.8346, 0.7208)
Cr (0.8346, 0.3495, 0.7208)
Ni (0.1723, 0.6621, 0.2170)
Ni (0.6621, 0.1723, 0.2170)
Ni (0.8336, 0.8336, 0.7152)
O (0.0050, 0.0050, 0.3081)
O (0.0096, 0.0096, 0.8086)
O (0.0398, 0.4788, 0.3444)
O (0.1710, 0.1710, 0.6034)
O (0.1745, 0.6724, 0.6002)
O (0.3317, 0.3317, 0.1112)
O (0.3363, 0.8420, 0.0995)
O (0.4788, 0.0398, 0.3444)
O (0.4815, 0.4815, 0.3367)
O (0.5221, 0.5221, 0.8420)
O (0.5232, 0.9657, 0.8419)
O (0.6641, 0.6641, 0.6056)
O (0.6724, 0.1745, 0.6002)
O (0.8379, 0.8379, 0.1040)
O (0.8420, 0.3363, 0.0995)
O (0.9657, 0.5232, 0.8419)

Calculated values
E_form (uncorrected) in eV/atom: -1.91
Total magnetic moment in μB per formula unit: 10.1
Density of states at the Fermi level in states/eV/cell: 11.16

# 10
Material: CrCo2RhPb
Method: DFT, PBEsol
State: optimized geometry

a = 4.5313 Å, b = 4.5313 Å, c = 4.9849 Å
α = 90.00°, β = 90.00°, γ = 90.00°
Sites, in units of the cell vectors:
Cr (0.0000, 0.0000, 0.0000)
Co (0.0000, 0.5000, 0.5000)
Co (0.5000, 0.0000, 0.5000)
Rh (0.5000, 0.5000, 0.5000)
Pb (0.5000, 0.5000, 0.0000)

Calculated values
Total magnetic moment in μB per formula unit: 9.0
Density of states at the Fermi level in states/eV/cell: 8.67
ΔE_f in kJ/mol of atoms: 137.62

# 11
Material: LaPPt2
Method: DFT, PBEsol
State: optimized geometry

a = 3.7601 Å, b = 3.7308 Å, c = 5.9429 Å
α = 90.00°, β = 108.27°, γ = 90.00°
Sites, in units of the cell vectors:
La (0.0000, 0.0000, 0.0000)
P (0.4818, 0.5000, 0.3367)
Pt (0.3624, 0.5000, 0.7018)
Pt (0.8317, 0.0000, 0.4697)

Calculated values
Total magnetic moment in μB per formula unit: 0.0
Density of states at the Fermi level in states/eV/cell: 1.87
ΔE_f in kJ/mol of atoms: -73.42

# 12
Material: Tl2NiH
Method: DFT, PBEsol
State: optimized geometry

a = 4.5120 Å, b = 4.5120 Å, c = 4.5120 Å
α = 60.00°, β = 60.00°, γ = 60.00°
Sites, in units of the cell vectors:
Tl (0.2500, 0.2500, 0.2500)
Tl (0.7500, 0.7500, 0.7500)
Ni (0.0000, 0.0000, 0.0000)
H (0.5000, 0.5000, 0.5000)

Calculated values
Total magnetic moment in μB per formula unit: 0.0
E in eV/atom: -3.1149
Density of states at the Fermi level in states/eV/cell: 2.08